Record 1
Pr2Nd3Y6Mg: relaxed, PBE.

The space group is C2/m (No. 12) and the conventional cell measures 6.2310, 10.7965 and 11.9178 Å, with angles of 90.00, 100.07 and 90.00 degrees. The distinct sites, in fractional coordinates, are Pr at (0.0000, 0.1659, 0.0000), Nd at (0.0000, 0.0000, 0.5000), Nd at (0.0000, 0.3341, 0.5000), Y at (0.2477, 0.3345, 0.2482), Y at (0.2484, 0.5000, 0.7509) and Mg at (0.0000, 0.5000, 0.0000).

The total magnetization comes out at 0.00 μB per formula unit. The calculation puts the formation enthalpy at 0 K at 17 meV per atom.

***

Record 2
PrNd2Y2Mg: relaxed, PBE.

The space group is Pnnm (No. 58) and the conventional cell measures 10.5612, 11.9958 and 3.6373 Å, with angles of 90.00, 90.00 and 90.00 degrees. The distinct sites, in fractional coordinates, are Pr at (0.0000, 0.0000, 0.0000), Nd at (0.0881, 0.2286, 0.5000), Y at (0.2422, 0.4363, 0.0000) and Mg at (0.0000, 0.5000, 0.5000).

The total magnetization comes out at 0.00 μB per formula unit. The calculation puts the formation enthalpy at 0 K at 448 meV per atom.

***

Record 3
PrNd2YMg: relaxed, PBE.

The space group is Pmma (No. 51) and the conventional cell measures 6.0699, 7.5264 and 7.3171 Å, with angles of 90.00, 90.00 and 90.00 degrees. The distinct sites, in fractional coordinates, are Pr at (0.2500, 0.0000, 0.1657), Nd at (0.2500, 0.2171, 0.6937), Y at (0.2500, 0.5000, 0.3726) and Mg at (0.0000, 0.5000, 0.0000).

The total magnetization comes out at 0.00 μB per formula unit. The calculation puts the formation enthalpy at 0 K at 149 meV per atom.

***

Question: Number 3 is which compound?
Answer: PrNd2YMg